(1)
NaTbBi2Se4 PBE-GGA relaxed; formation energy (no corrections) = -6.8 eV/f.u.; D(E_F) = 0.024 states/eV per atom
1.0
7.6229 0.0000 0.0000
0.0000 4.1017 0.0000
-2.4202 0.0000 7.6186
Na Tb Bi Se
1 1 2 4
Direct
0.0000 0.0000 0.0000
0.5000 0.5000 0.5000
0.0000 0.0000 0.5000
0.5000 0.5000 0.0000
0.1196 0.5000 0.2917
0.3948 0.0000 0.7150
0.6052 0.0000 0.2850
0.8804 0.5000 0.7083



(2)
Na2BiTeSe4 PBE-GGA relaxed; formation energy (no corrections) = -4.4 eV/f.u.; D(E_F) = 0.147 states/eV per atom
1.0
5.9568 -5.9191 0.0000
5.9568 5.9191 0.0000
-5.5073 0.0000 6.3189
Na Bi Te Se
4 2 2 8
Direct
0.0000 0.0000 0.0000
0.0000 0.0000 0.5000
0.0000 0.5000 0.0000
0.5000 0.0000 0.5000
0.5000 0.5000 0.0000
0.5000 0.5000 0.5000
0.0000 0.5000 0.5000
0.5000 0.0000 0.0000
0.2235 0.7205 0.4765
0.2532 0.2741 0.5277
0.2741 0.2532 0.0277
0.2795 0.7765 0.0235
0.7205 0.2235 0.9765
0.7259 0.7468 0.9723
0.7468 0.7259 0.4723
0.7765 0.2795 0.5235



(3)
NaBiTeSe3 PBE-GGA relaxed; formation energy (no corrections) = -2.3 eV/f.u.; D(E_F) = 0.295 states/eV per atom
1.0
8.5195 0.0000 0.0000
0.0000 4.1178 0.0000
-3.5770 0.0000 10.8914
Na Bi Te Se
2 2 2 6
Direct
0.1721 0.2500 0.1288
0.8279 0.7500 0.8712
0.3103 0.7500 0.8727
0.6897 0.2500 0.1273
0.1641 0.2500 0.5396
0.8359 0.7500 0.4604
0.0713 0.2500 0.8517
0.3197 0.7500 0.4745
0.4203 0.7500 0.1228
0.5797 0.2500 0.8772
0.6803 0.2500 0.5255
0.9287 0.7500 0.1483



(4)
Na2ThBiSe4 PBE-GGA relaxed; formation energy (no corrections) = -8.8 eV/f.u.; D(E_F) = 0.524 states/eV per atom
1.0
7.4233 0.0000 0.0000
0.0000 4.3523 0.0000
-2.5548 0.0000 6.9959
Na Th Bi Se
2 1 1 4
Direct
0.0000 0.0000 0.0000
0.0000 0.5000 0.5000
0.5000 0.0000 0.5000
0.5000 0.5000 0.0000
0.2606 0.5000 0.2628
0.2672 0.0000 0.7477
0.7328 0.0000 0.2523
0.7394 0.5000 0.7372



(5)
Na4ThBi3Se8 PBE-GGA relaxed; formation energy (no corrections) = -15.0 eV/f.u.; D(E_F) = 0.240 states/eV per atom
1.0
4.3230 2.4959 6.9683
-4.3230 2.4959 6.9683
0.0000 -4.9918 6.9683
Na Th Bi Se
4 1 3 8
Direct
0.0000 0.0000 0.0000
0.0000 0.5000 0.5000
0.5000 0.0000 0.5000
0.5000 0.5000 0.0000
0.5000 0.5000 0.5000
0.0000 0.0000 0.5000
0.0000 0.5000 0.0000
0.5000 0.0000 0.0000
0.2445 0.2445 0.2445
0.2506 0.7419 0.7419
0.2581 0.2581 0.7494
0.2581 0.7494 0.2581
0.7419 0.2506 0.7419
0.7419 0.7419 0.2506
0.7494 0.2581 0.2581
0.7555 0.7555 0.7555



(6)
Na3TiBi2Se6 PBE-GGA relaxed; formation energy (no corrections) = -10.2 eV/f.u.; D(E_F) = 0.510 states/eV per atom
1.0
3.5781 -6.2111 0.0000
3.5781 6.2111 0.0000
-2.4195 0.0000 6.9734
Na Ti Bi Se
3 1 2 6
Direct
0.0000 0.0000 0.0000
0.3238 0.6762 0.0000
0.6762 0.3238 0.0000
0.5000 0.5000 0.5000
0.1652 0.8348 0.5000
0.8348 0.1652 0.5000
0.1195 0.4249 0.2751
0.2726 0.2726 0.7248
0.4249 0.1195 0.2751
0.5751 0.8805 0.7249
0.7274 0.7274 0.2752
0.8805 0.5751 0.7249



(7)
Na4TiBi3Se8 PBE-GGA relaxed; formation energy (no corrections) = -13.1 eV/f.u.; D(E_F) = 0.361 states/eV per atom
1.0
4.1623 2.4031 7.0303
-4.1623 2.4031 7.0303
0.0000 -4.8062 7.0303
Na Ti Bi Se
4 1 3 8
Direct
0.0000 0.0000 0.0000
0.0000 0.5000 0.5000
0.5000 0.0000 0.5000
0.5000 0.5000 0.0000
0.5000 0.5000 0.5000
0.0000 0.0000 0.5000
0.0000 0.5000 0.0000
0.5000 0.0000 0.0000
0.2481 0.2481 0.2481
0.2668 0.7275 0.7275
0.2725 0.2725 0.7332
0.2725 0.7332 0.2725
0.7275 0.2668 0.7275
0.7275 0.7275 0.2668
0.7332 0.2725 0.2725
0.7519 0.7519 0.7519



(8)
NaTlBiSe3 PBE-GGA relaxed; formation energy (no corrections) = -3.2 eV/f.u.; D(E_F) = 0.617 states/eV per atom
1.0
7.4549 0.0000 0.0000
0.0000 4.2495 0.0000
-0.0998 0.0000 10.6305
Na Tl Bi Se
2 2 2 6
Direct
0.2466 0.2500 0.9995
0.7534 0.7500 0.0005
0.0794 0.7500 0.6718
0.9206 0.2500 0.3282
0.4132 0.7500 0.3230
0.5868 0.2500 0.6770
0.0899 0.7500 0.1714
0.2682 0.2500 0.4955
0.4222 0.7500 0.8283
0.5778 0.2500 0.1717
0.7318 0.7500 0.5045
0.9101 0.2500 0.8286



Across the entries above, final energy takes the values -34.463, -56.026, -42.108, -36.631, -67.173, -50.709, -65.740, -42.480 eV for the cell shown, respectively.